(1)
Material: Ba6Cd5Ga
Method: DFT, GGA-PBE
State: optimized geometry

a = 5.9661 Å, b = 8.5120 Å, c = 9.4346 Å
α = 90.00°, β = 71.46°, γ = 90.00°
Fractional coordinates of all 12 atoms:
Cd  0.0000  0.5000  0.0000
Cd  0.3317  0.5000  0.3369
Cd  0.6683  0.5000  0.6631
Cd  0.3329  0.0000  0.3346
Cd  0.6671  0.0000  0.6654
Ba  0.5000  0.7564  0.0000
Ba  0.8363  0.7532  0.3276
Ba  0.1637  0.2468  0.6724
Ba  0.1637  0.7532  0.6724
Ba  0.5000  0.2436  0.0000
Ba  0.8363  0.2468  0.3276
Ga  0.0000  0.0000  0.0000

The value obtained for the formation energy is -321 meV/atom. Its crystal system is monoclinic.

***

(2)
Material: Er6Ge2SbSe3
Method: DFT, GGA-PBE
State: optimized geometry

a = 4.1396 Å, b = 8.2884 Å, c = 9.2358 Å
α = 102.51°, β = 102.95°, γ = 90.00°
Fractional coordinates of all 12 atoms:
Ge  0.8329  0.6651  0.6657
Ge  0.1671  0.3349  0.3343
Er  0.3291  0.4242  0.6582
Er  0.6706  0.1004  0.3413
Er  0.9941  0.7397  0.9881
Er  0.6709  0.5758  0.3418
Er  0.3294  0.8996  0.6587
Er  0.0059  0.2603  0.0119
Se  0.1644  0.8340  0.3288
Se  0.8356  0.1660  0.6712
Se  0.5000  0.5000  0.0000
Sb  0.5000  0.0000  0.0000

The formation energy (no corrections) comes out at -1.3886 eV per atom. Its crystal system is monoclinic.

***

(3)
Material: Al2InAg4
Method: DFT, GGA-PBE
State: optimized geometry

a = 3.1032 Å, b = 3.0128 Å, c = 15.9998 Å
α = 90.16°, β = 90.14°, γ = 120.98°
Fractional coordinates of all 7 atoms:
Al  0.7164  0.4334  0.3721
Al  0.7053  0.4107  0.1000
Ag  0.3851  0.7700  0.8208
Ag  0.3868  0.7789  0.5061
Ag  0.0400  0.0827  0.9684
Ag  0.0468  0.0853  0.2356
In  0.7210  0.4419  0.6650

The value obtained for the formation energy is 0 meV/atom. Its crystal system is triclinic.

***

(4)
Material: Nd2HoCl8
Method: DFT, GGA-PBE
State: optimized geometry

a = 5.8049 Å, b = 7.4940 Å, c = 7.4940 Å
α = 112.60°, β = 100.04°, γ = 100.04°
Each line ends with the local moment (μB).
Fractional coordinates of all 11 atoms:
Nd  0.0000  0.3092  0.6908  0.12
Nd  0.0000  0.6908  0.3092  0.12
Cl  0.8954  0.6620  0.9223  0.00
Cl  0.5000  0.2137  0.7863  0.00
Cl  0.1046  0.3380  0.0777  0.00
Cl  0.8954  0.9223  0.6620  0.00
Cl  0.1046  0.0777  0.3380  0.00
Cl  0.3153  0.6502  0.6502  0.00
Cl  0.5000  0.7863  0.2137  0.00
Cl  0.6847  0.3498  0.3498  0.00
Ho  0.5000  0.0000  0.0000  0.40

The formation energy (no corrections) comes out at -2.0066 eV per atom. Its crystal system is monoclinic.

***

(5)
Material: SiSb2Se
Method: DFT, GGA-PBE
State: optimized geometry

a = 5.0777 Å, b = 5.0777 Å, c = 5.0825 Å
α = 69.36°, β = 69.36°, γ = 107.02°
Fractional coordinates of all 4 atoms:
Si  0.0000  0.5000  0.5000
Sb  0.5000  0.5000  0.0000
Sb  0.0000  0.0000  0.0000
Se  0.5000  0.0000  0.5000

The calculation puts the energy above the most stable polymorph in this dataset at 0.0814 eV/atom. The formation energy (no corrections) comes out at 0.1621 eV per atom. Its crystal system is orthorhombic.